Computed, not measured: a relaxed structure of BAuI2 at the GGA-PBE level of DFT.

Lattice parameters (Å, degrees): 5.2112 5.2112 5.2112 60.00 60.00 60.00
Last column: nearest neighbours and their distance in Å.
Positions (direct):
B (0.0000, 0.0000, 0.0000)  8 I 3.19
I (0.7500, 0.7500, 0.7500)  4 Au 3.19, 4 B 3.19
Au (0.5000, 0.5000, 0.5000)  8 I 3.19
I (0.2500, 0.2500, 0.2500)  4 B 3.19, 4 Au 3.19

Its crystal system is cubic. Its calculated density is 7.66 g cm⁻³. For the volume, the calculation gives 100 Å³ per cell. Its polymorph energy (0 for the lowest one) is 340 meV/atom. For the formation energy from raw total energies, the calculation gives 1.260 eV/atom. The density of states at the Fermi level is 1.154 states/eV/f.u. The value obtained for the total energy is -2.00 eV per atom.

---

Computed, not measured: a relaxed structure of BAuI2 at the GGA-PBE level of DFT.

Lattice parameters (Å, degrees): 6.0982 6.0982 8.2481 68.30 68.30 90.00
Last column: nearest neighbours and their distance in Å.
Positions (direct):
B (0.2500, 0.7500, 0.5000)  4 I 2.73
I (0.1417, 0.6250, 0.2500)  2 B 2.73, 2 Au 2.84
I (0.3750, 0.3917, 0.7500)  2 B 2.73, 2 Au 2.84
B (0.5000, 0.5000, 0.0000)  4 I 2.73
I (0.8750, 0.8583, 0.7500)  2 B 2.73, 2 Au 2.84
I (0.6083, 0.1250, 0.2500)  2 B 2.73, 2 Au 2.84
Au (0.7500, 0.2500, 0.5000)  4 I 2.84
Au (0.0000, 0.0000, 0.0000)  4 I 2.84

Its crystal system is tetragonal. Its calculated density is 5.86 g cm⁻³. For the volume, the calculation gives 261 Å³ per cell. Its polymorph energy (0 for the lowest one) is 0 meV/atom. For the formation energy from raw total energies, the calculation gives 0.920 eV/atom. The density of states at the Fermi level is 0.000 states/eV/f.u. The value obtained for the total energy is -2.34 eV per atom.

---

Computed, not measured: a relaxed structure of BAu2I at the GGA-PBE level of DFT.

Lattice parameters (Å, degrees): 6.4263 6.4263 6.2619 59.13 59.13 90.00
Last column: nearest neighbours and their distance in Å.
Positions (direct):
B (0.5000, 0.5000, 0.0000)  4 Au 2.14
I (0.7500, 0.2500, 0.5000)  4 Au 3.00
Au (0.2319, 0.6250, 0.2500)  2 B 2.14
Au (0.5181, 0.1250, 0.2500)  2 B 2.14
I (0.0000, 0.0000, 0.0000)  4 Au 3.00
Au (0.3750, 0.4819, 0.7500)  2 B 2.14
B (0.2500, 0.7500, 0.5000)  4 Au 2.14
Au (0.8750, 0.7681, 0.7500)  2 B 2.14

Its crystal system is tetragonal. Its calculated density is 9.92 g cm⁻³. For the volume, the calculation gives 178 Å³ per cell. Its polymorph energy (0 for the lowest one) is 223 meV/atom. For the formation energy from raw total energies, the calculation gives 0.453 eV/atom. The density of states at the Fermi level is 0.855 states/eV/f.u. The value obtained for the total energy is -3.24 eV per atom.

---

Computed, not measured: a relaxed structure of B2AuI at the GGA-PBE level of DFT.

Lattice parameters (Å, degrees): 3.3958 3.9642 6.7246 96.32 87.15 68.51
Last column: nearest neighbours and their distance in Å.
Positions (direct):
Au (0.1202, 0.5288, 0.6565)  3 B 2.12-2.22
B (0.4863, 0.8465, 0.5982)  1 B 1.63
I (0.9201, 0.0774, 0.1836)  2 B 2.26-2.27
B (0.3999, 0.0722, 0.4062)  1 B 1.63

Its crystal system is triclinic. Its calculated density is 6.89 g cm⁻³. For the volume, the calculation gives 83 Å³ per cell. Its polymorph energy (0 for the lowest one) is 323 meV/atom. For the formation energy from raw total energies, the calculation gives 0.727 eV/atom. The density of states at the Fermi level is 1.182 states/eV/f.u. The value obtained for the total energy is -3.82 eV per atom.

---

Computed, not measured: a relaxed structure of B2AuI at the GGA-PBE level of DFT.

Lattice parameters (Å, degrees): 3.4011 4.1789 6.3922 108.68 91.30 90.00
Last column: nearest neighbours and their distance in Å.
Positions (direct):
I (0.3785, 0.5237, 0.9131)  2 B 2.43
B (0.1153, 0.3390, 0.5365)  2 B 1.69-1.71
B (0.6112, 0.3388, 0.5362)  2 B 1.69-1.71
Au (0.3612, 0.8068, 0.4709)  4 B 2.29

Its crystal system is triclinic. Its calculated density is 6.67 g cm⁻³. For the volume, the calculation gives 86 Å³ per cell. Its polymorph energy (0 for the lowest one) is 36 meV/atom. For the formation energy from raw total energies, the calculation gives 0.440 eV/atom. The density of states at the Fermi level is 0.337 states/eV/f.u. The value obtained for the total energy is -4.11 eV per atom.

---

Computed, not measured: a relaxed structure of MnBAuI at the GGA-PBE level of DFT.

Lattice parameters (Å, degrees): 3.3029 4.0359 7.4617 94.60 102.75 114.02
Last column: nearest neighbours and their distance in Å.
Positions (direct):
B (0.8396, 0.5819, 0.1864)  2 Mn 2.04-2.05, 2 Au 2.24-2.25
Mn (0.1444, 0.3166, 0.0608)  2 B 2.04-2.05
I (0.9469, 0.2899, 0.7026)  1 Mn 2.59
Au (0.5858, 0.9945, 0.2671)  3 B 2.24-2.35

Its crystal system is triclinic. Its calculated density is 7.44 g cm⁻³. For the volume, the calculation gives 87 Å³ per cell. Its polymorph energy (0 for the lowest one) is 54 meV/atom. For the formation energy from raw total energies, the calculation gives 0.391 eV/atom. The density of states at the Fermi level is 2.343 states/eV/f.u. The value obtained for the total energy is -4.78 eV per atom.

---

Computed, not measured: a relaxed structure of MnBAuI at the GGA-PBE level of DFT.

Lattice parameters (Å, degrees): 6.8099 3.4636 7.0500 90.00 108.81 90.00
Last column: nearest neighbours and their distance in Å.
Positions (direct):
Mn (0.0252, 0.0000, 0.8918)  2 B 2.14
B (0.1827, 0.5000, 0.0465)  2 Mn 2.14, 3 Au 2.26-2.27
I (0.7358, 0.0000, 0.4631)  3 Mn 2.79-3.03, 1 B 2.91, 1 Au 3.01
Mn (0.0252, 0.5000, 0.3918)  2 B 2.14
Au (0.2731, 0.0000, 0.2656)  3 B 2.26-2.27
Au (0.2731, 0.5000, 0.7656)  3 B 2.26-2.27
B (0.1827, 0.0000, 0.5465)  2 Mn 2.14, 3 Au 2.26-2.27
I (0.7358, 0.5000, 0.9631)  3 Mn 2.79-3.03, 1 B 2.91, 1 Au 3.01

Its crystal system is monoclinic. Its calculated density is 8.22 g cm⁻³. For the volume, the calculation gives 157 Å³ per cell. Its polymorph energy (0 for the lowest one) is 20 meV/atom. For the formation energy from raw total energies, the calculation gives 0.357 eV/atom. The density of states at the Fermi level is 2.354 states/eV/f.u. The value obtained for the total energy is -4.81 eV per atom.

---

Computed, not measured: a relaxed structure of MnBAuI at the GGA-PBE level of DFT.

Lattice parameters (Å, degrees): 3.6395 3.6395 6.6046 90.00 90.00 120.00
Last column: nearest neighbours and their distance in Å.
Positions (direct):
I (0.3333, 0.6667, 0.7342)  3 Mn 2.85, 1 Au 2.94
B (0.6667, 0.3333, 0.1682)  3 Au 2.25, 3 Mn 2.30
Au (0.3333, 0.6667, 0.2894)  3 B 2.25
Mn (0.0000, 0.0000, 0.0250)  3 B 2.30

Its crystal system is trigonal. Its calculated density is 8.54 g cm⁻³. For the volume, the calculation gives 76 Å³ per cell. Its polymorph energy (0 for the lowest one) is 0 meV/atom. For the formation energy from raw total energies, the calculation gives 0.337 eV/atom. The density of states at the Fermi level is 2.563 states/eV/f.u. The value obtained for the total energy is -4.83 eV per atom.